Entry from Alexandria: a relaxed structure of RbTe2ICl (GGA-PBEsol).

Calculated values
total energy: -8.2 eV/cell
M_tot: 5.05 μB per formula unit

a = 6.9263 Å, b = 6.9263 Å, c = 6.5077 Å
α = 90.00°, β = 90.00°, γ = 90.00°
Last column: nearest neighbours and their distance in Å.
Atoms (fractional coordinates):
1 Rb 0.0000 0.0000 0.0000  2 I 3.25, 4 Te 3.46
2 Te 0.0000 0.5000 0.0000  2 Rb 3.46
3 Te 0.5000 0.0000 0.0000  2 Rb 3.46
4 I 0.0000 0.0000 0.5000  2 Rb 3.25
5 Cl 0.5000 0.5000 0.5000  8 Te 4.75, 4 I 4.90

=====

Entry from Alexandria: a relaxed structure of Ba3CoW (GGA-PBEsol).

Calculated values
energy of formation from the pure elements: 1.339 eV/atom
M_tot: 4.47 μB per formula unit

a = 5.5869 Å, b = 5.5869 Å, c = 5.5869 Å
α = 90.00°, β = 90.00°, γ = 90.00°
Last column: nearest neighbours and their distance in Å.
Atoms (fractional coordinates):
1 Ba 0.0000 0.0000 0.5000  2 Co 2.79
2 Ba 0.0000 0.5000 0.0000  2 Co 2.79
3 Ba 0.5000 0.0000 0.0000  2 Co 2.79
4 Co 0.0000 0.0000 0.0000  6 Ba 2.79
5 W 0.5000 0.5000 0.5000  12 Ba 3.95

=====

Entry from Alexandria: a relaxed structure of YPSe2 (GGA-PBEsol).

Calculated values
total energy: -23.3 eV/cell
M_tot: 0.00 μB per formula unit

a = 5.4000 Å, b = 5.4000 Å, c = 4.5346 Å
α = 91.85°, β = 91.85°, γ = 40.68°
Last column: nearest neighbours and their distance in Å.
Atoms (fractional coordinates):
1 Y 0.0000 0.0000 0.0000  6 Se 2.92-3.23, 4 P 2.94
2 P 0.5000 0.5000 0.5000  2 Se 2.42
3 Se 0.2997 0.2997 0.7776  1 P 2.42
4 Se 0.7003 0.7003 0.2224  1 P 2.42

=====

Entry from Alexandria: a relaxed structure of SmCrGe3 (GGA-PBEsol).

Calculated values
energy of formation from the pure elements: -0.439 eV/atom
M_tot: 1.30 μB per formula unit

a = 6.0366 Å, b = 6.0366 Å, c = 5.5986 Å
α = 90.00°, β = 90.00°, γ = 120.00°
Last column: nearest neighbours and their distance in Å.
Atoms (fractional coordinates):
1 Sm 0.3333 0.6667 0.2500  12 Ge 3.03-3.16
2 Sm 0.6667 0.3333 0.7500  12 Ge 3.03-3.16
3 Cr 0.0000 0.0000 0.0000  6 Ge 2.45
4 Cr 0.0000 0.0000 0.5000  6 Ge 2.45
5 Ge 0.1921 0.3843 0.7500  2 Cr 2.45, 2 Ge 2.56
6 Ge 0.1921 0.8079 0.7500  2 Cr 2.45, 2 Ge 2.56
7 Ge 0.3843 0.1921 0.2500  2 Cr 2.45, 2 Ge 2.56
8 Ge 0.6157 0.8079 0.7500  2 Cr 2.45, 2 Ge 2.56
9 Ge 0.8079 0.1921 0.2500  2 Cr 2.45, 2 Ge 2.56
10 Ge 0.8079 0.6157 0.2500  2 Cr 2.45, 2 Ge 2.56